CuNi2OsPt | PBE | relaxed

Output
size of the total moment	3.8	μB per cell
energy	-5.18	eV per atom
E_form	135.2	kJ per mole of atoms

Unit cell a=4.203 b=4.486 c=4.203 alpha=90.00 beta=90.00 gamma=90.00
Site moments in Bohr magnetons follow the coordinates.
Sites, in units of the cell vectors:
Cu1 0.000 0.000 0.000  0.19
Pt1 0.500 0.500 0.500  0.42
Ni1 0.000 0.000 0.500  0.84
Ni2 0.500 0.000 0.000  0.69
Os1 0.000 0.500 0.000  1.63